# 1
TbDy2Nb: optimized geometry, PBE.

```
12
Lattice="3.299 0.000 0.000 -1.650 2.857 0.000 0.000 0.000 34.758" Properties=species:S:1:pos:R:3 pbc="T T T"
Tb 0.000 0.000 0.000
Tb 0.000 1.905 23.172
Tb 1.650 0.952 11.586
Dy 0.000 0.000 14.487
Dy 0.000 0.000 20.271
Dy 0.000 1.905 2.901
Dy 0.000 1.905 8.685
Dy 1.650 0.952 26.074
Dy 1.650 0.952 31.857
Nb 0.000 0.000 17.379
Nb 0.000 1.905 5.793
Nb 1.650 0.952 28.965
```

Computed properties:
The value obtained for the calculated total energy is -5.446 eV/atom. The calculation puts the magnetic moment at 0.0 μB/cell.


# 2
DyNbTc: optimized geometry, PBE.

```
6
Lattice="3.308 0.000 0.000 0.000 3.308 0.000 0.000 0.000 10.966" Properties=species:S:1:pos:R:3 pbc="T T T"
Dy 0.000 0.000 0.000
Dy 1.654 1.654 5.483
Nb 0.000 0.000 3.280
Nb 1.654 1.654 8.763
Tc 0.000 0.000 7.439
Tc 1.654 1.654 1.956
```

Computed properties:
As for the energy above the most stable polymorph in this dataset: 0 meV/atom. The value obtained for the calculated total energy is -8.396 eV/atom. The calculation puts the magnetic moment at 0.0 μB/cell.


# 3
DyNbTc: optimized geometry, PBE.

```
12
Lattice="0.000 5.055 9.975 2.500 0.000 9.975 2.500 5.055 0.000" Properties=species:S:1:pos:R:3 pbc="T T T"
Dy 1.875 0.325 7.481
Dy 3.126 2.853 12.469
Dy 1.875 7.258 7.481
Dy 3.126 9.786 12.469
Nb 1.875 3.792 5.724
Nb 1.875 3.792 9.238
Nb 3.126 6.319 10.712
Nb 3.126 6.319 14.226
Tc 0.625 1.264 0.020
Tc 0.625 1.264 4.967
Tc 4.376 8.847 14.982
Tc 4.376 8.847 19.929
```

Computed properties:
As for the energy above the most stable polymorph in this dataset: 146 meV/atom. The value obtained for the calculated total energy is -8.250 eV/atom. The calculation puts the magnetic moment at 0.0 μB/cell.


# 4
DyNbTc2: optimized geometry, PBE.

```
4
Lattice="3.269 0.000 0.000 0.000 3.269 0.000 0.000 0.000 6.779" Properties=species:S:1:pos:R:3 pbc="T T T"
Dy 0.000 0.000 0.000
Nb 0.000 0.000 3.390
Tc 1.635 1.635 1.888
Tc 1.635 1.635 4.891
```

Computed properties:
The value obtained for the calculated total energy is -8.950 eV/atom. The calculation puts the magnetic moment at 0.0 μB/cell.


# 5
DyNbTc4: optimized geometry, PBE.

```
6
Lattice="0.000 3.735 3.735 3.735 0.000 3.735 3.735 3.735 0.000" Properties=species:S:1:pos:R:3 pbc="T T T"
Dy 0.000 0.000 0.000
Nb 5.602 5.602 5.602
Tc 2.805 2.805 2.805
Tc 4.665 4.665 2.805
Tc 4.665 2.805 4.665
Tc 2.805 4.665 4.665
```

Computed properties:
The value obtained for the calculated total energy is -9.416 eV/atom. The calculation puts the magnetic moment at 0.0 μB/cell.


# 6
DyNbTe: optimized geometry, PBE.

```
12
Lattice="11.127 0.000 0.000 0.000 3.768 0.000 -2.672 0.000 7.386" Properties=species:S:1:pos:R:3 pbc="T T T"
Dy 0.392 0.000 1.860
Dy 2.500 1.884 5.526
Dy 5.956 1.884 1.860
Dy 8.063 0.000 5.526
Nb -0.874 1.884 7.003
Nb 3.766 0.000 0.383
Nb 4.689 0.000 7.003
Nb 9.330 1.884 0.383
Te -0.004 0.000 5.051
Te 2.895 1.884 2.335
Te 5.560 1.884 5.051
Te 8.459 0.000 2.335
```

Computed properties:
The value obtained for the calculated total energy is -6.441 eV/atom. As for the formation energy (no corrections): -0.50 eV per atom. The calculation puts the magnetic moment at 0.0 μB/cell.